Computed, not measured: an optimized crystal structure of Cd2Pd3 at the GGA-PBE level of DFT.

Calculated values
The value obtained for the total energy is -3.662 eV per atom. The calculation puts the density of states at the Fermi level at 9.92 states/eV per cell. The magnetization is 0.00 μB per formula unit. The value obtained for the energy of formation from the pure elements is -0.9 eV/f.u.

abc: 6.5037 11.1096 5.1747
angles: 90.00 90.00 90.00
Space group Ibam (No. 72)
Symmetry-distinct sites (fractional):
Cd: 0.2502 0.1745 0.0000 (multiplicity 8)
Pd: 0.0000 0.0000 0.2500 (multiplicity 4)
Pd: 0.1504 0.4163 0.0000 (multiplicity 8)